VASP calculation (PBE) on BaZnBr2 after structural relaxation.

```
BaZnBr2
1.0
-0.369 -7.871 1.699
3.842 -4.438 5.525
-4.514 6.428 -1.810
Ba Zn Br
1 1 2
direct
0.222 0.722 0.500
0.448 0.448 0.000
0.767 0.267 0.500
0.063 0.063 0.000
```

Output
Formation energy from raw total energies (kJ/mol of formula units): -486
Total magnetization (μB per atom): 0.000
Energy relative to the lowest polymorph listed for this composition (eV per atom): 0.084
DFT total energy (eV per atom): -2.89
Space group: Imm2, No. 44

***

VASP calculation (PBE) on DyH3Pt3 after structural relaxation.

```
DyH3Pt3
1.0
-1.778 0.296 -4.360
1.024 -6.185 -0.838
-5.508 2.000 2.382
Dy Pt H
2 6 6
direct
0.250 0.333 0.667
0.750 0.667 0.333
0.750 0.146 0.292
0.250 0.292 0.146
0.750 0.146 0.854
0.250 0.854 0.146
0.250 0.854 0.708
0.750 0.708 0.854
0.750 0.446 0.892
0.750 0.446 0.554
0.250 0.554 0.446
0.250 0.892 0.446
0.250 0.554 0.108
0.750 0.108 0.554
```

Output
Total magnetization (μB per atom): 0.000
DFT total energy (eV per atom): -5.26
Space group: P6_3/mmc, No. 194

***

Q: Which formula does entry 1 have?
A: BaZnBr2